[1]
Material: Ho2Al7
Method: DFT, PBE
State: relaxed

- DFT formation energy: -0.2935 eV/atom
- Density of states at the Fermi level: 0.4330 states/eV/atom
- E: -4.222 eV/atom

abc: 5.4977 5.4977 13.6834
angles: 78.41 78.41 60.00
With the nearest neighbours (Å) after each atom.
Element x y z (fractional)
1 Al 0.8934 0.3867 0.3333  7 Al 2.71-2.79
2 Al 0.3867 0.3867 0.3333  7 Al 2.71-2.79
3 Al 0.6133 0.6133 0.6667  7 Al 2.71-2.79
4 Al 0.2785 0.2785 0.1645  6 Al 2.70-2.74
5 Al 0.0000 0.5000 0.0000  8 Al 2.70-2.75
6 Al 0.5000 0.5000 0.0000  8 Al 2.70-2.75
7 Al 0.6111 0.6111 0.1667  6 Al 2.73-2.74
8 Al 0.6133 0.1066 0.6667  7 Al 2.71-2.79
9 Al 0.3867 0.8934 0.3333  7 Al 2.71-2.79
10 Al 0.5000 0.5000 0.5000  6 Al 2.74
11 Al 0.7215 0.7215 0.8355  6 Al 2.70-2.74
12 Al 0.5000 0.0000 0.0000  8 Al 2.70-2.75
13 Al 0.1066 0.6133 0.6667  7 Al 2.71-2.79
14 Al 0.3889 0.3889 0.8333  6 Al 2.73-2.74
15 Ho 0.1499 0.1499 0.5502  12 Al 3.16-3.28, 3 Ho 3.44
16 Ho 0.8501 0.8501 0.4498  12 Al 3.16-3.28, 3 Ho 3.44
17 Ho 0.9462 0.9462 0.1614  12 Al 3.17-3.49
18 Ho 0.0538 0.0538 0.8386  12 Al 3.17-3.49


[2]
Material: ZrTa5
Method: DFT, PBE
State: relaxed

- Energy above the most stable polymorph in this dataset: 6 meV per atom
- DFT formation energy: 0.0864 eV/atom
- Density of states at the Fermi level: 1.7947 states/eV/atom
- E: -11.216 eV/atom

abc: 7.3097 7.3097 4.7874
angles: 90.00 90.00 153.58
With the nearest neighbours (Å) after each atom.
Element x y z (fractional)
1 Zr 0.1389 0.8611 0.5000  8 Ta 2.92-2.97
2 Ta 0.6388 0.3612 0.0000  4 Zr 2.92, 4 Ta 2.92
3 Ta 0.9706 0.0294 0.0000  8 Ta 2.86-2.92
4 Ta 0.8118 0.1882 0.5000  6 Ta 2.76-2.92, 2 Zr 2.97
5 Ta 0.4661 0.5339 0.5000  6 Ta 2.76-2.92, 2 Zr 2.97
6 Ta 0.3072 0.6928 0.0000  8 Ta 2.86-2.92


[3]
Material: K2ScRu
Method: DFT, PBE
State: relaxed

- Energy above the most stable polymorph in this dataset: 8 meV per atom
- DFT formation energy: 0.2896 eV/atom
- Density of states at the Fermi level: 0.7196 states/eV/atom
- E: -4.161 eV/atom

abc: 10.7306 10.7306 10.7306
angles: 162.23 158.20 28.27
With the nearest neighbours (Å) after each atom.
Element x y z (fractional)
1 Ru 0.2500 0.7500 0.5000  4 Sc 2.62
2 K 0.4002 0.4002 0.0000  2 K 3.32, 2 Ru 3.54
3 K 0.0998 0.0998 0.0000  2 K 3.32, 2 Ru 3.54
4 Sc 0.7500 0.2500 0.5000  4 Ru 2.62


[4]
Material: LaTl3Ir
Method: DFT, PBE
State: relaxed

- Energy above the most stable polymorph in this dataset: 1502 meV per atom
- DFT formation energy: 1.6072 eV/atom
- Density of states at the Fermi level: 1.8774 states/eV/atom
- E: -2.570 eV/atom

abc: 6.0587 6.0587 6.0587
angles: 90.00 90.00 90.00
With the nearest neighbours (Å) after each atom.
Element x y z (fractional)
1 Tl 0.0000 0.5000 0.0000  2 La 3.03
2 Tl 0.5000 0.0000 0.0000  2 La 3.03
3 Tl 0.0000 0.0000 0.5000  2 La 3.03
4 La 0.0000 0.0000 0.0000  6 Tl 3.03
5 Ir 0.5000 0.5000 0.5000  12 Tl 4.28


[5]
Material: ErTm3Pb2C
Method: DFT, PBE
State: relaxed

- DFT formation energy: -0.5548 eV/atom
- Density of states at the Fermi level: 0.1139 states/eV/atom
- E: -5.500 eV/atom

abc: 4.7742 4.7557 8.6236
angles: 106.01 106.07 90.00
With the nearest neighbours (Å) after each atom.
Element x y z (fractional)
1 C 0.0000 0.0000 0.0000  4 Tm 2.38-2.48, 2 Er 2.39
2 Tm 0.0000 0.5000 0.0000  2 C 2.38
3 Tm 0.1560 0.1560 0.3120  1 C 2.48
4 Tm 0.8440 0.8440 0.6880  1 C 2.48
5 Pb 0.3567 0.3567 0.7135  7 Tm 3.19-3.38, 2 Er 3.29
6 Pb 0.6433 0.6433 0.2865  7 Tm 3.19-3.38, 2 Er 3.29
7 Er 0.5000 0.0000 0.0000  2 C 2.39


[6]
Material: HgIr2Os
Method: DFT, PBE
State: relaxed

- DFT formation energy: 0.5229 eV/atom
- Density of states at the Fermi level: 1.1105 states/eV/atom
- E: -6.790 eV/atom

abc: 4.8272 4.8272 4.9748
angles: 81.33 81.33 33.72
With the nearest neighbours (Å) after each atom.
Element x y z (fractional)
1 Ir 0.4914 0.4914 0.5230  4 Ir 2.68-2.80, 3 Os 2.72-2.80, 3 Hg 2.79-2.91
2 Ir 0.0086 0.0086 0.9770  4 Ir 2.68-2.80, 3 Os 2.72-2.80, 3 Hg 2.79-2.91
3 Os 0.7500 0.7500 0.7500  6 Ir 2.72-2.80, 2 Os 2.80, 4 Hg 2.85
4 Hg 0.2500 0.2500 0.2500  6 Ir 2.79-2.91, 2 Hg 2.80, 4 Os 2.85


[7]
Material: Pu3Be2Ge4
Method: DFT, PBE
State: relaxed

- Energy above the most stable polymorph in this dataset: 18 meV per atom
- DFT formation energy: -0.3484 eV/atom
- Density of states at the Fermi level: 2.8996 states/eV/atom
- E: -8.006 eV/atom

abc: 4.0664 5.8559 8.1596
angles: 109.96 90.00 110.32
With the nearest neighbours (Å) after each atom.
Element x y z (fractional)
1 Pu 0.6114 0.2229 0.6714  1 Pu 2.97, 8 Ge 3.01-3.26, 4 Be 3.02-3.26
2 Pu 0.0000 0.0000 0.0000  8 Ge 3.01-3.37
3 Pu 0.3886 0.7771 0.3286  1 Pu 2.97, 8 Ge 3.01-3.26, 4 Be 3.02-3.26
4 Be 0.3130 0.6260 0.6669  4 Ge 2.30-2.48
5 Be 0.6870 0.3740 0.3331  4 Ge 2.30-2.48
6 Ge 0.1139 0.2278 0.3965  3 Be 2.31-2.48
7 Ge 0.8861 0.7722 0.6035  3 Be 2.31-2.48
8 Ge 0.7155 0.4309 0.0677  1 Be 2.30, 2 Ge 2.56
9 Ge 0.2845 0.5691 0.9323  1 Be 2.30, 2 Ge 2.56


[8]
Material: Li2NiMo
Method: DFT, PBE
State: relaxed

- Energy above the most stable polymorph in this dataset: 159 meV per atom
- DFT formation energy: 0.3137 eV/atom
- Density of states at the Fermi level: 0.3772 states/eV/atom
- E: -4.796 eV/atom

abc: 4.1417 4.1417 4.1417
angles: 120.01 120.01 89.98
With the nearest neighbours (Å) after each atom.
Element x y z (fractional)
1 Ni 0.7500 0.2500 0.5000  4 Li 2.54, 4 Mo 2.54
2 Li 0.0000 0.0000 0.0000  4 Ni 2.54, 4 Li 2.54
3 Li 0.2500 0.7500 0.5000  4 Mo 2.54, 4 Li 2.54
4 Mo 0.5000 0.5000 0.0000  4 Li 2.54, 4 Ni 2.54


[9]
Material: Mn3Zn2Au6
Method: DFT, PBE
State: relaxed

- DFT formation energy: 0.1189 eV/atom
- Density of states at the Fermi level: 0.4097 states/eV/atom
- E: -4.401 eV/atom

abc: 3.8123 3.8123 14.4050
angles: 97.60 97.60 90.00
With the nearest neighbours (Å) after each atom.
Element x y z (fractional)
1 Au 0.2744 0.2744 0.5488  1 Zn 2.50, 1 Mn 2.70
2 Au 0.5707 0.0707 0.1414  2 Zn 2.68, 4 Au 2.70, 2 Mn 2.76
3 Au 0.9293 0.4293 0.8586  2 Zn 2.68, 4 Au 2.70, 2 Mn 2.76
4 Au 0.0707 0.5707 0.1414  2 Zn 2.68, 4 Au 2.70, 2 Mn 2.76
5 Au 0.7256 0.7256 0.4512  1 Zn 2.50, 1 Mn 2.70
6 Au 0.4293 0.9293 0.8586  2 Zn 2.68, 4 Au 2.70, 2 Mn 2.76
7 Mn 0.1791 0.1791 0.3582  5 Au 2.70-3.00, 4 Zn 2.95
8 Mn 0.0000 0.0000 0.0000  8 Au 2.76
9 Mn 0.8209 0.8209 0.6418  5 Au 2.70-3.00, 4 Zn 2.95
10 Zn 0.6371 0.6371 0.2742  5 Au 2.50-2.68
11 Zn 0.3629 0.3629 0.7258  5 Au 2.50-2.68


[10]
Material: LaAlI
Method: DFT, PBE
State: relaxed

- Density of states at the Fermi level: 0.4419 states/eV/atom
- E: -4.406 eV/atom
- ΔE_f (raw): -1.00 eV per atom

abc: 4.4375 4.4375 12.7777
angles: 90.16 99.83 120.01
With the nearest neighbours (Å) after each atom.
Element x y z (fractional)
1 Al 0.3240 0.1619 0.4859  3 Al 2.59
2 Al 0.6760 0.8381 0.5141  3 Al 2.59
3 I 0.5585 0.2822 0.8407  3 La 3.29
4 I 0.4415 0.7178 0.1593  3 La 3.29
5 La 0.1161 0.5594 0.6755  6 Al 3.26-3.49, 3 I 3.29
6 La 0.8839 0.4406 0.3245  6 Al 3.26-3.49, 3 I 3.29


[11]
Material: V2B6Mo
Method: DFT, PBE
State: relaxed

- DFT formation energy: -0.5822 eV/atom
- Density of states at the Fermi level: 0.3349 states/eV/atom
- E: -8.264 eV/atom

abc: 3.0899 5.2540 5.2540
angles: 120.00 90.00 90.00
With the nearest neighbours (Å) after each atom.
Element x y z (fractional)
1 B 0.5000 0.6627 0.0000  3 B 1.71-1.77
2 B 0.5000 0.6627 0.6627  3 B 1.71-1.77
3 B 0.5000 0.0000 0.6627  3 B 1.71-1.77
4 B 0.5000 0.3373 0.3373  3 B 1.71-1.77
5 B 0.5000 0.3373 0.0000  3 B 1.71-1.77
6 B 0.5000 0.0000 0.3373  3 B 1.71-1.77
7 V 0.0000 0.3333 0.6667  12 B 2.33
8 V 0.0000 0.6667 0.3333  12 B 2.33
9 Mo 0.0000 0.0000 0.0000  12 B 2.35


[12]
Material: HoTm7Sc4
Method: DFT, PBE
State: relaxed

- Energy above the most stable polymorph in this dataset: 0 meV per atom
- DFT formation energy: 0.0184 eV/atom
- Density of states at the Fermi level: 1.4921 states/eV/atom
- E: -5.082 eV/atom

abc: 6.8865 5.9646 10.9061
angles: 79.49 50.88 90.05
With the nearest neighbours (Å) after each atom.
Element x y z (fractional)
1 Sc 0.8396 0.7825 0.6604  4 Sc 3.28-3.46, 8 Tm 3.30-3.44
2 Sc 0.5920 0.2765 0.6621  3 Sc 3.30-3.46, 8 Tm 3.32-3.51, 1 Ho 3.43
3 Sc 0.4080 0.7235 0.3379  3 Sc 3.30-3.46, 8 Tm 3.32-3.51, 1 Ho 3.43
4 Sc 0.1604 0.2175 0.3396  4 Sc 3.28-3.46, 8 Tm 3.30-3.44
5 Tm 0.3367 0.7768 0.6634  5 Sc 3.34-3.46, 6 Tm 3.35-3.49, 1 Ho 3.42
6 Tm 0.5000 0.0000 0.0000  4 Sc 3.40-3.42, 6 Tm 3.41-3.45, 2 Ho 3.44
7 Tm 0.6633 0.2232 0.3366  5 Sc 3.34-3.46, 6 Tm 3.35-3.49, 1 Ho 3.42
8 Tm 0.7426 0.5026 0.0037  3 Sc 3.39-3.44, 7 Tm 3.39-3.49, 2 Ho 3.43-3.48
9 Tm 0.0837 0.2823 0.6610  6 Sc 3.30-3.51, 5 Tm 3.35-3.49, 1 Ho 3.45
10 Tm 0.9163 0.7177 0.3390  6 Sc 3.30-3.51, 5 Tm 3.35-3.49, 1 Ho 3.45
11 Tm 0.2574 0.4974 0.9963  3 Sc 3.39-3.44, 7 Tm 3.39-3.49, 2 Ho 3.43-3.48
12 Ho 0.0000 0.0000 0.0000  10 Tm 3.42-3.48, 2 Sc 3.43


[13]
Material: NiAsSe2
Method: DFT, PBE
State: relaxed

- Density of states at the Fermi level: 0.7378 states/eV/atom
- E: -4.336 eV/atom
- ΔE_f (raw): 0.01 eV per atom

abc: 5.8100 5.8100 6.8897
angles: 65.06 65.06 90.00
With the nearest neighbours (Å) after each atom.
Element x y z (fractional)
1 Ni 0.5000 0.5000 0.0000  4 Se 2.32
2 Ni 0.2500 0.7500 0.5000  4 Se 2.32
3 As 0.0000 0.0000 0.0000  4 Se 2.66
4 As 0.7500 0.2500 0.5000  4 Se 2.66
5 Se 0.5745 0.1250 0.2500  2 Ni 2.32
6 Se 0.8750 0.8245 0.7500  2 Ni 2.32
7 Se 0.1755 0.6250 0.2500  2 Ni 2.32
8 Se 0.3750 0.4255 0.7500  2 Ni 2.32


[14]
Material: HfMn6Al12
Method: DFT, PBE
State: relaxed

- DFT formation energy: -0.0760 eV/atom
- Density of states at the Fermi level: 0.5534 states/eV/atom
- E: -5.859 eV/atom

abc: 7.2359 7.2359 7.2359
angles: 109.47 109.47 109.47
With the nearest neighbours (Å) after each atom.
Element x y z (fractional)
1 Hf 0.0000 0.0000 0.0000  12 Al 2.76
2 Al 0.9090 0.1837 0.7253  1 Mn 2.38
3 Al 0.1837 0.7253 0.9090  1 Mn 2.38
4 Al 0.4584 0.1837 0.2747  1 Mn 2.38
5 Al 0.8163 0.7253 0.5416  1 Mn 2.38
6 Al 0.5416 0.8163 0.7253  1 Mn 2.38
7 Al 0.7253 0.9090 0.1837  1 Mn 2.38
8 Al 0.0910 0.8163 0.2747  1 Mn 2.38
9 Al 0.1837 0.2747 0.4584  1 Mn 2.38
10 Al 0.7253 0.5416 0.8163  1 Mn 2.38
11 Al 0.2747 0.4584 0.1837  1 Mn 2.38
12 Al 0.2747 0.0910 0.8163  1 Mn 2.38
13 Al 0.8163 0.2747 0.0910  1 Mn 2.38
14 Mn 0.8578 0.3578 0.5000  1 Mn 2.38, 2 Al 2.38
15 Mn 0.3578 0.5000 0.8578  1 Mn 2.38, 2 Al 2.38
16 Mn 0.6422 0.5000 0.1422  1 Mn 2.38, 2 Al 2.38
17 Mn 0.5000 0.1422 0.6422  1 Mn 2.38, 2 Al 2.38
18 Mn 0.1422 0.6422 0.5000  1 Mn 2.38, 2 Al 2.38
19 Mn 0.5000 0.8578 0.3578  1 Mn 2.38, 2 Al 2.38


[15]
Material: Th6C5O
Method: DFT, PBE
State: relaxed

- Density of states at the Fermi level: 0.3517 states/eV/atom
- E: -8.716 eV/atom
- ΔE_f (raw): -0.75 eV per atom

abc: 6.5265 6.5259 6.5330
angles: 60.04 80.40 70.49
With the nearest neighbours (Å) after each atom.
Element x y z (fractional)
1 C 0.5000 0.8293 0.3414  6 Th 2.61-2.70
2 C 0.5000 0.1707 0.6586  6 Th 2.61-2.70
3 C 0.0000 0.6657 0.6686  6 Th 2.66-2.67
4 C 0.5000 0.5000 0.0000  6 Th 2.64-2.67
5 C 0.0000 0.3343 0.3314  6 Th 2.66-2.67
6 Th 0.7476 0.7476 0.0000  5 C 2.64-2.70, 1 O 2.69
7 Th 0.2521 0.9162 0.6642  5 C 2.61-2.67, 1 O 2.69
8 Th 0.2524 0.2524 0.0000  5 C 2.64-2.70, 1 O 2.69
9 Th 0.7479 0.0838 0.3358  5 C 2.61-2.67, 1 O 2.69
10 Th 0.2521 0.5804 0.3358  5 C 2.61-2.67, 1 O 2.69
11 Th 0.7479 0.4196 0.6642  5 C 2.61-2.67, 1 O 2.69
12 O 0.0000 0.0000 0.0000  6 Th 2.69


[16]
Material: TbHo4Tc2
Method: DFT, PBE
State: relaxed

- DFT formation energy: -0.0376 eV/atom
- Density of states at the Fermi level: 0.7013 states/eV/atom
- E: -6.277 eV/atom

abc: 6.2898 7.8829 7.7862
angles: 111.88 90.00 90.00
With the nearest neighbours (Å) after each atom.
Element x y z (fractional)
1 Tc 0.2500 0.6173 0.5774  6 Ho 2.72-2.98, 1 Tb 2.93
2 Tc 0.2500 0.2455 0.9658  4 Ho 2.77-2.91
3 Tc 0.7500 0.3827 0.4226  6 Ho 2.72-2.98, 1 Tb 2.93
4 Tc 0.7500 0.7545 0.0342  4 Ho 2.77-2.91
5 Tb 0.2500 0.8421 0.9734  2 Tc 2.93-3.20
6 Tb 0.7500 0.1579 0.0266  2 Tc 2.93-3.20
7 Ho 0.2500 0.2495 0.3234  2 Tc 2.77-2.84
8 Ho 0.2500 0.9740 0.6122  2 Tc 2.72-2.79
9 Ho 0.9990 0.4167 0.7602  4 Tc 2.91-3.14, 2 Ho 3.13-3.16
10 Ho 0.0010 0.5833 0.2398  4 Tc 2.91-3.14, 2 Ho 3.13-3.16
11 Ho 0.7500 0.0260 0.3878  2 Tc 2.72-2.79
12 Ho 0.4990 0.5833 0.2398  4 Tc 2.91-3.14, 2 Ho 3.13-3.16
13 Ho 0.5010 0.4167 0.7602  4 Tc 2.91-3.14, 2 Ho 3.13-3.16
14 Ho 0.7500 0.7505 0.6766  2 Tc 2.77-2.84


[17]
Material: Tb2HoTe
Method: DFT, PBE
State: relaxed

- Energy above the most stable polymorph in this dataset: 450 meV per atom
- Density of states at the Fermi level: 1.6397 states/eV/atom
- E: -4.449 eV/atom
- ΔE_f (raw): -0.20 eV per atom

abc: 3.8165 3.8165 10.9491
angles: 79.96 79.96 60.00
With the nearest neighbours (Å) after each atom.
Element x y z (fractional)
1 Tb 0.8979 0.8979 0.3064  3 Te 3.03, 1 Ho 3.29
2 Tb 0.1021 0.1021 0.6936  3 Te 3.03, 1 Ho 3.29
3 Ho 0.0000 0.0000 0.0000  2 Tb 3.29
4 Te 0.5000 0.5000 0.5000  6 Tb 3.03


[18]
Material: Pr2GaRu
Method: DFT, PBE
State: relaxed

- DFT formation energy: -0.4002 eV/atom
- Density of states at the Fermi level: 0.8497 states/eV/atom
- E: -5.866 eV/atom

abc: 3.9191 6.2168 8.8790
angles: 111.14 90.00 90.00
With the nearest neighbours (Å) after each atom.
Element x y z (fractional)
1 Pr 0.7500 0.2118 0.4134  2 Ru 2.90, 3 Ga 3.18
2 Pr 0.2500 0.7882 0.5866  2 Ru 2.90, 3 Ga 3.18
3 Pr 0.2500 0.7803 0.0542  3 Ru 2.96-3.18, 3 Ga 3.15-3.21
4 Pr 0.7500 0.2197 0.9458  3 Ru 2.96-3.18, 3 Ga 3.15-3.21
5 Ga 0.2500 0.3736 0.7160  2 Ru 2.62
6 Ga 0.7500 0.6264 0.2840  2 Ru 2.62
7 Ru 0.7500 0.6727 0.7866  2 Ga 2.62, 2 Pr 2.90
8 Ru 0.2500 0.3273 0.2134  2 Ga 2.62, 2 Pr 2.90


[19]
Material: Rb4BS4
Method: DFT, PBE
State: relaxed

- Energy above the most stable polymorph in this dataset: 319 meV per atom
- Density of states at the Fermi level: 0.1199 states/eV/atom
- E: -3.528 eV/atom
- ΔE_f (raw): -0.52 eV per atom

abc: 6.4480 7.4611 7.4611
angles: 79.24 64.40 64.40
With the nearest neighbours (Å) after each atom.
Element x y z (fractional)
1 S 0.2050 0.7308 0.8592  1 B 2.04
2 S 0.7950 0.2692 0.1408  1 B 2.04
3 S 0.9358 0.8592 0.2692  1 B 2.04
4 S 0.0642 0.1408 0.7308  1 B 2.04
5 Rb 0.7884 0.6305 0.7928  4 S 3.32-3.38
6 Rb 0.5812 0.2072 0.6305  4 S 3.32-3.38
7 Rb 0.2116 0.3695 0.2072  4 S 3.32-3.38
8 Rb 0.4188 0.7928 0.3695  4 S 3.32-3.38
9 B 0.0000 0.0000 0.0000  4 S 2.04


[20]
Material: Cs2TiNbF6
Method: DFT, PBE
State: relaxed

- Density of states at the Fermi level: 0.9867 states/eV/atom
- E: -5.581 eV/atom
- ΔE_f (raw): -2.49 eV per atom

abc: 6.2805 6.2805 6.2814
angles: 60.00 60.00 90.00
With the nearest neighbours (Å) after each atom.
Element x y z (fractional)
1 F 0.7461 0.2539 0.0000  1 Ti 2.19, 1 Nb 2.25
2 F 0.7462 0.7462 0.5075  1 Ti 2.19, 1 Nb 2.25
3 F 0.2539 0.7461 0.0000  1 Ti 2.19, 1 Nb 2.25
4 F 0.2539 0.2539 0.0000  1 Ti 2.19, 1 Nb 2.25
5 F 0.2538 0.2538 0.4925  1 Ti 2.19, 1 Nb 2.25
6 F 0.7461 0.7461 0.0000  1 Ti 2.19, 1 Nb 2.25
7 Cs 0.7500 0.2500 0.5000  12 F 3.14
8 Cs 0.2500 0.7500 0.5000  12 F 3.14
9 Nb 0.0000 0.0000 0.0000  6 F 2.25
10 Ti 0.5000 0.5000 0.0000  6 F 2.19